Record 1
A relaxed YVHg2As crystal, computed with PBE.

The calculation puts the density at 6.1 g cm⁻³. The value obtained for the formation enthalpy at 0 K is 1.082 eV per atom.

The structure belongs to space group P4/mmm (No. 123); the cell edges are 5.639, 5.639 and 5.305 Å and the angles 90.00°, 90.00° and 90.00°. The asymmetric unit holds Y at (0.000, 0.000, 0.000), V at (0.500, 0.500, 0.500), Hg at (0.000, 0.500, 0.000) and As at (0.000, 0.000, 0.500).



Record 2
A relaxed Cd3SbAs crystal, computed with PBE.

The calculation puts the density at 5.2 g cm⁻³. The raw formation energy is 0.611 eV/atom. The energy above the lowest structure with this stoichiometry is 3.20 eV per formula unit.

The structure belongs to space group Pm-3m (No. 221); the cell edges are 5.533, 5.533 and 5.533 Å and the angles 90.00°, 90.00° and 90.00°. The asymmetric unit holds Cd at (0.000, 0.000, 0.500), Sb at (0.000, 0.000, 0.000) and As at (0.500, 0.500, 0.500).



Record 3
A relaxed MgBe2Ru crystal, computed with PBE.

The calculation puts the density at 4.9 g cm⁻³. The value obtained for the formation enthalpy at 0 K is -0.062 eV per atom.

The structure belongs to space group Amm2 (No. 38); the cell edges are 3.437, 3.100 and 9.043 Å and the angles 90.00°, 90.00° and 90.00°. The asymmetric unit holds Mg at (0.000, 0.000, 0.000), Be at (0.000, 0.000, 0.262), Be at (0.500, 0.000, 0.393) and Ru at (0.500, 0.000, 0.702).



Record 4
A relaxed Pu5CdPd5 crystal, computed with PBE.

The calculation puts the density at 12.1 g cm⁻³. The value obtained for the formation enthalpy at 0 K is -0.239 eV per atom.

The structure belongs to space group C2/m (No. 12); the cell edges are 16.085, 5.064 and 6.758 Å and the angles 90.00°, 111.15° and 90.00°. The asymmetric unit holds Pu at (0.000, 0.000, 0.000), Pu at (0.140, 0.500, 0.908), Pu at (0.156, 0.500, 0.405), Cd at (0.000, 0.000, 0.500), Pd at (0.000, 0.500, 0.500), Pd at (0.188, 0.000, 0.725) and Pd at (0.194, 0.000, 0.182).